# HfAsNO | the Open Quantum Materials Database | PBE | relaxed
# - E: -7.894 eV per atom
# - Calculated volume: 49.1 Å³/f.u.
data_HfAsNO
_space_group_name_H-M_alt 'P 4/n m m'
_space_group_IT_number 129
_cell_length_a 3.4091
_cell_length_b 3.4091
_cell_length_c 8.4415
_cell_angle_alpha 90.00
_cell_angle_beta 90.00
_cell_angle_gamma 90.00
loop_
_space_group_symop_operation_xyz
'x,y,z'
'-x,-y,-z'
'-y+1/2,x,z'
'y+1/2,-x,-z'
'-x+1/2,-y+1/2,z'
'x+1/2,y+1/2,-z'
'y,-x+1/2,z'
'-y,x+1/2,-z'
'x+1/2,-y,-z'
'-x+1/2,y,z'
'-y,-x,-z'
'y,x,z'
'-x,y+1/2,-z'
'x,-y+1/2,z'
'y+1/2,x+1/2,-z'
'-y+1/2,-x+1/2,z'
loop_
_atom_site_label
_atom_site_type_symbol
_atom_site_fract_x
_atom_site_fract_y
_atom_site_fract_z
Hf1 Hf 0.2500 0.2500 0.1519
As1 As 0.2500 0.7500 0.5000
N1 N 0.2500 0.2500 0.7477
O1 O 0.2500 0.7500 0.0000

# HfAsNO | the Open Quantum Materials Database | PBE | relaxed
# - E: -8.235 eV per atom
# - Calculated volume: 73.7 Å³/f.u.
data_HfAsNO
_space_group_name_H-M_alt 'P m c 21'
_space_group_IT_number 26
_cell_length_a 3.2094
_cell_length_b 6.7526
_cell_length_c 6.7990
_cell_angle_alpha 90.00
_cell_angle_beta 90.00
_cell_angle_gamma 90.00
loop_
_space_group_symop_operation_xyz
'x,y,z'
'-x,-y,z+1/2'
'-x,y,z'
'x,-y,z+1/2'
loop_
_atom_site_label
_atom_site_type_symbol
_atom_site_fract_x
_atom_site_fract_y
_atom_site_fract_z
Hf1 Hf 0.0000 0.1446 0.0000
As1 As 0.5000 0.2191 0.5407
N1 N 0.0000 0.1043 0.6890
O1 O 0.5000 0.2939 0.0711

> Number 2 is which compound?

HfAsNO